Entry from Alexandria via LeMat-Bulk: a relaxed Nd2BeVO6 crystal (PBE with a Hubbard U).

Summary:
DFT total energy (eV per atom): -7.8065
Calculated volume (A^3/atom): 10.93
Space group: P2_1/c

Structure (POSCAR):
```
Nd2BeVO6
1.0
5.411 0.000 0.008
0.000 5.405 0.000
0.059 0.000 7.474
O V Nd Be
12 2 4 2
Direct
0.565 0.007 0.250
0.720 0.268 0.964
0.780 0.768 0.536
0.234 0.220 0.036
0.220 0.232 0.464
0.734 0.280 0.536
0.280 0.732 0.036
0.935 0.507 0.250
0.435 0.993 0.750
0.266 0.720 0.464
0.766 0.780 0.964
0.065 0.493 0.750
0.500 0.000 0.500
0.000 0.500 0.000
0.509 0.528 0.751
0.491 0.472 0.249
0.009 0.972 0.251
0.991 0.028 0.749
0.000 0.500 0.500
0.500 0.000 0.000
```